## PtW2F (PBE+U)

Data for a relaxed structure of PtW2F.

VASP energy (eV for the cell shown): -82.001
Relative energy among the computed polymorphs (kJ/mol of formula units): 28.9

Lattice parameters (Å, degrees): 6.2266 6.2266 6.2266 90.00 90.00 90.00
Closest atoms and distances in Å follow each position.
Space group Fm-3m (No. 225)
Asymmetric unit:
Pt  0.0000  0.0000  0.0000  8 W 2.70
W  0.2500  0.2500  0.2500  4 F 2.70, 4 Pt 2.70
F  0.0000  0.0000  0.5000  8 W 2.70